## CsNpCl14 (PBE)

Data for a relaxed CsNpCl14 crystal.

Lattice parameters (Å, degrees): 10.647 10.647 7.031 100.58 100.58 112.75
Sites, in units of the cell vectors:
Cs  0.000  0.000  0.000
Np  0.293  0.707  0.000
Cl  0.021  0.979  0.500
Cl  0.035  0.353  0.451
Cl  0.086  0.502  0.011
Cl  0.139  0.750  0.738
Cl  0.250  0.861  0.262
Cl  0.336  0.552  0.739
Cl  0.400  0.255  0.238
Cl  0.448  0.664  0.261
Cl  0.498  0.914  0.989
Cl  0.573  0.427  0.500
Cl  0.647  0.965  0.549
Cl  0.745  0.600  0.762
Cl  0.759  0.160  0.741
Cl  0.840  0.241  0.259

DOS(E_F), states/eV/cell: 16.262
E_form (uncorrected), eV/atom: -0.735



## CeZnSb (PBE)

Data for a relaxed CeZnSb crystal.

Lattice parameters (Å, degrees): 5.383 5.383 5.383 134.15 134.15 66.86
Sites, in units of the cell vectors:
Ce  0.000  0.000  0.000
Zn  0.334  0.334  0.000
Sb  0.649  0.649  0.000

DOS(E_F), states/eV/cell: 6.498
E_form (uncorrected), eV/atom: -0.365



## SrCa3 (PBE)

Data for a relaxed SrCa3 crystal.

Lattice parameters (Å, degrees): 6.918 6.918 6.877 100.44 100.44 33.83
Sites, in units of the cell vectors:
Sr  0.000  0.000  0.000
Ca  0.247  0.247  0.744
Ca  0.500  0.500  0.500
Ca  0.753  0.753  0.256

ΔH_f (0 K), meV/atom: 13.9
DOS(E_F), states/eV/cell: 5.128
Offset from the most stable computed form, eV/atom: 0.000



## YZn2Ir (PBE)

Data for a relaxed YZn2Ir crystal.

Lattice parameters (Å, degrees): 4.595 4.595 4.595 60.00 60.00 60.00
Sites, in units of the cell vectors:
Y  0.000  0.000  0.000
Zn  0.250  0.250  0.250
Zn  0.750  0.750  0.750
Ir  0.500  0.500  0.500

ΔH_f (0 K), meV/atom: -372.6
DOS(E_F), states/eV/cell: 3.632



## YPu2Cr2C4 (PBE)

Data for a relaxed YPu2Cr2C4 crystal.

Lattice parameters (Å, degrees): 6.839 6.839 5.967 108.07 108.07 28.78
Sites, in units of the cell vectors:
Y  0.000  0.000  0.000
Pu  0.130  0.130  0.540
Pu  0.870  0.870  0.460
Cr  0.319  0.319  0.996
Cr  0.681  0.681  0.004
C  0.215  0.215  0.179
C  0.447  0.447  0.242
C  0.553  0.553  0.758
C  0.785  0.785  0.821

ΔH_f (0 K), meV/atom: -7.6
DOS(E_F), states/eV/cell: 15.380



## Tl2HgBr8 (PBE)

Data for a relaxed Tl2HgBr8 crystal.

Lattice parameters (Å, degrees): 10.035 10.035 6.928 97.37 97.37 45.10
Sites, in units of the cell vectors:
Tl  0.152  0.152  0.451
Tl  0.848  0.848  0.549
Hg  0.000  0.000  0.000
Br  0.144  0.144  0.822
Br  0.182  0.683  0.742
Br  0.280  0.280  0.357
Br  0.317  0.818  0.258
Br  0.683  0.182  0.742
Br  0.720  0.720  0.643
Br  0.818  0.317  0.258
Br  0.856  0.856  0.178

E_form (uncorrected), eV/atom: -0.440
Offset from the most stable computed form, eV/atom: 0.000



## NaCu2SiSe4 (PBE)

Data for a relaxed NaCu2SiSe4 crystal.

Lattice parameters (Å, degrees): 6.487 6.485 6.224 61.34 61.32 57.34
Sites, in units of the cell vectors:
Na  0.000  0.000  0.000
Cu  0.251  0.251  0.249
Cu  0.751  0.751  0.749
Si  0.501  0.501  0.499
Se  0.148  0.574  0.426
Se  0.427  0.853  0.573
Se  0.574  0.148  0.852
Se  0.853  0.427  0.147

DOS(E_F), states/eV/cell: 6.863
E_form (uncorrected), eV/atom: -0.449



## ZrTcW3 (PBE)

Data for a relaxed ZrTcW3 crystal.

Lattice parameters (Å, degrees): 4.718 4.718 4.718 90.00 90.00 90.00
Sites, in units of the cell vectors:
Zr  0.000  0.000  0.000
Tc  0.500  0.500  0.500
W  0.000  0.000  0.500
W  0.000  0.500  0.000
W  0.500  0.000  0.000

ΔH_f (0 K), meV/atom: 2808.8
DOS(E_F), states/eV/cell: 7.417
Offset from the most stable computed form, eV/atom: 1.309



## ReSbP2 (PBE)

Data for a relaxed ReSbP2 crystal.

Lattice parameters (Å, degrees): 5.141 4.573 4.507 68.96 56.13 54.91
Sites, in units of the cell vectors:
Re  0.000  0.000  0.000
Sb  0.500  0.500  0.500
P  0.000  0.500  0.500
P  0.500  0.000  0.000

DOS(E_F), states/eV/cell: 3.656
E_form (uncorrected), eV/atom: 0.640



## ThSiNi (PBE)

Data for a relaxed ThSiNi crystal.

Lattice parameters (Å, degrees): 7.599 7.599 7.599 148.85 148.85 44.63
Sites, in units of the cell vectors:
Th  0.000  0.000  0.000
Th  0.750  0.250  0.500
Si  0.170  0.670  0.500
Si  0.420  0.420  0.000
Ni  0.338  0.838  0.500
Ni  0.588  0.588  0.000

DOS(E_F), states/eV/cell: 5.553
E_form (uncorrected), eV/atom: -0.826



## CdP3Br (PBE)

Data for a relaxed CdP3Br crystal.

Lattice parameters (Å, degrees): 5.097 5.097 5.097 90.00 90.00 90.00
Sites, in units of the cell vectors:
Cd  0.000  0.000  0.000
P  0.000  0.000  0.500
P  0.000  0.500  0.000
P  0.500  0.000  0.000
Br  0.500  0.500  0.500

DOS(E_F), states/eV/cell: 3.516
E_form (uncorrected), eV/atom: 1.358
Offset from the most stable computed form, eV/atom: 0.000



## Ac2SiSn3Pd4 (PBE)

Data for a relaxed Ac2SiSn3Pd4 crystal.

Lattice parameters (Å, degrees): 4.660 4.660 10.585 90.00 90.00 90.00
Sites, in units of the cell vectors:
Ac  0.000  0.500  0.246
Ac  0.500  0.000  0.754
Si  0.500  0.500  0.000
Sn  0.000  0.000  0.000
Sn  0.000  0.500  0.629
Sn  0.500  0.000  0.371
Pd  0.000  0.000  0.500
Pd  0.000  0.500  0.884
Pd  0.500  0.000  0.116
Pd  0.500  0.500  0.500

DOS(E_F), states/eV/cell: 6.017
E_form (uncorrected), eV/atom: -0.782



Number 1: total moment 2.109 Bohr magnetons per cell, energy -3.213 eV/atom. Number 2: total moment 1.083 Bohr magnetons per cell, energy -4.142 eV/atom. Number 3: total moment 0.000 Bohr magnetons per cell, energy -1.908 eV/atom. Number 4: total moment 0.000 Bohr magnetons per cell, energy -4.841 eV/atom. Number 5: total moment 11.588 Bohr magnetons per cell, energy -10.149 eV/atom. Number 6: total moment 0.000 Bohr magnetons per cell, energy -2.114 eV/atom. Number 7: total moment 0.000 Bohr magnetons per cell, energy -4.058 eV/atom. Number 8: total moment 1.405 Bohr magnetons per cell, energy -8.746 eV/atom. Number 9: total moment 0.000 Bohr magnetons per cell, energy -6.208 eV/atom. Number 10: total moment 0.000 Bohr magnetons per cell, energy -7.034 eV/atom. Number 11: total moment 3.137 Bohr magnetons per cell, energy -2.406 eV/atom. Number 12: total moment 0.000 Bohr magnetons per cell, energy -5.424 eV/atom.